This record from Alexandria via LeMat-Bulk describes a geometry-optimized Tc2AgSb structure. The functional is PBE.

Calculated values
Total moment (μB/atom): 0.0000
Uncorrected formation energy (eV/atom): 0.3564

Lattice parameters (Å, degrees): 2.9826 3.6387 6.6640 90.00 90.05 90.00
Space group Pm (No. 6)
Unique sites:
Tc  0.0000  0.0000  0.0000 (multiplicity 1)
Tc  0.4956  0.5000  0.8235 (multiplicity 1)
Ag  0.9952  0.0000  0.5634 (multiplicity 1)
Sb  0.4990  0.5000  0.2559 (multiplicity 1)

=====

This record from Alexandria via LeMat-Bulk describes a geometry-optimized Mg2HIr4 structure. The functional is PBE.

Calculated values
Total moment (μB/atom): 0.0000
Relative energy among the computed polymorphs (meV/atom): 36

Lattice parameters (Å, degrees): 8.7725 3.9752 5.7618 90.00 107.47 90.00
Space group C2 (No. 5)
Unique sites:
Mg  0.1735  0.0000  0.0950 (multiplicity 4)
H  0.0000  0.6565  0.0000 (multiplicity 2)
Ir  0.0060  0.4749  0.2780 (multiplicity 4)
Ir  0.1602  0.9815  0.5661 (multiplicity 4)

=====

This record from Alexandria via LeMat-Bulk describes a geometry-optimized BaCdNi2 structure. The functional is PBE.

Calculated values
Total moment (μB/atom): 0.0000
Energy of formation (eV per atom): 0.419

Lattice parameters (Å, degrees): 4.1156 4.1156 9.9512 90.00 90.00 90.00
Space group I-4m2 (No. 119)
Unique sites:
Ba  0.0000  0.0000  0.0000 (multiplicity 2)
Cd  0.0000  0.5000  0.7500 (multiplicity 2)
Ni  0.0000  0.0000  0.5000 (multiplicity 2)
Ni  0.0000  0.5000  0.2500 (multiplicity 2)

=====

This record from Alexandria via LeMat-Bulk describes a geometry-optimized CrNi2Ir structure. The functional is PBE.

Calculated values
Total moment (μB/atom): 0.0000
Energy of formation (eV per atom): 0.160

Lattice parameters (Å, degrees): 5.7862 5.7862 5.7862 90.00 90.00 90.00
Space group Fm-3m (No. 225)
Unique sites:
Cr  0.0000  0.0000  0.0000 (multiplicity 4)
Ni  0.2500  0.2500  0.2500 (multiplicity 8)
Ir  0.0000  0.0000  0.5000 (multiplicity 4)

=====

This record from Alexandria via LeMat-Bulk describes a geometry-optimized CaNd14Tm structure. The functional is PBE.

Calculated values
Total moment (μB/atom): 0.0000
Energy of formation (eV per atom): 0.064

Lattice parameters (Å, degrees): 11.4017 8.7711 11.2432 90.00 90.00 90.00
Space group Amm2 (No. 38)
Unique sites:
Ca  0.0000  0.0000  0.0000 (multiplicity 2)
Nd  0.0000  0.2082  0.7223 (multiplicity 4)
Nd  0.2328  0.0000  0.2273 (multiplicity 4)
Nd  0.2557  0.2147  0.9358 (multiplicity 8)
Nd  0.2598  0.0000  0.6551 (multiplicity 4)
Nd  0.5000  0.0000  0.4406 (multiplicity 2)
Nd  0.5000  0.0000  0.8615 (multiplicity 2)
Nd  0.5000  0.2032  0.1557 (multiplicity 4)
Tm  0.0000  0.0000  0.4450 (multiplicity 2)

=====

This record from Alexandria via LeMat-Bulk describes a geometry-optimized HoEr2Au2 structure. The functional is PBE.

Calculated values
Total moment (μB/atom): 0.0000
Energy of formation (eV per atom): -0.715

Lattice parameters (Å, degrees): 8.1149 8.1149 3.7662 90.00 90.00 90.00
Space group P4/mbm (No. 127)
Unique sites:
Ho  0.0000  0.0000  0.0000 (multiplicity 2)
Er  0.1618  0.3382  0.5000 (multiplicity 4)
Au  0.1341  0.6341  0.0000 (multiplicity 4)

=====

This record from Alexandria via LeMat-Bulk describes a geometry-optimized CdTc2Hg structure. The functional is PBE.

Calculated values
Total moment (μB/atom): 0.0000
Energy of formation (eV per atom): 0.175
Relative energy among the computed polymorphs (meV/atom): 0

Lattice parameters (Å, degrees): 2.9731 2.9729 8.2209 90.00 90.08 90.00
Space group Pm (No. 6)
Unique sites:
Cd  0.0000  0.0000  0.0000 (multiplicity 1)
Tc  0.0014  0.0000  0.4331 (multiplicity 1)
Tc  0.5014  0.5000  0.2588 (multiplicity 1)
Hg  0.5012  0.5000  0.6991 (multiplicity 1)

=====

This record from Alexandria via LeMat-Bulk describes a geometry-optimized Na5Pt4 structure. The functional is PBE.

Calculated values
Total moment (μB/atom): 0.0000
Energy of formation (eV per atom): 0.077
Relative energy among the computed polymorphs (meV/atom): 74

Lattice parameters (Å, degrees): 8.3414 8.3414 5.7781 90.00 90.00 120.00
Space group P6_3/mcm (No. 193)
Unique sites:
Na  0.0000  0.3553  0.2500 (multiplicity 6)
Na  0.3333  0.6667  0.0000 (multiplicity 4)
Pt  0.0000  0.0000  0.0000 (multiplicity 2)
Pt  0.0000  0.2869  0.7500 (multiplicity 6)

=====

This record from Alexandria via LeMat-Bulk describes a geometry-optimized CaAs3Br structure. The functional is PBE.

Calculated values
Total moment (μB/atom): 0.1127
Relative energy among the computed polymorphs (meV/atom): 344
Uncorrected formation energy (eV/atom): 0.8027

Lattice parameters (Å, degrees): 5.4633 5.4633 5.4633 90.00 90.00 90.00
Space group Pm-3m (No. 221)
Unique sites:
Ca  0.0000  0.0000  0.0000 (multiplicity 1)
As  0.0000  0.0000  0.5000 (multiplicity 3)
Br  0.5000  0.5000  0.5000 (multiplicity 1)

=====

This record from Alexandria via LeMat-Bulk describes a geometry-optimized CaCd2Hg structure. The functional is PBE.

Calculated values
Total moment (μB/atom): 0.0000
Energy of formation (eV per atom): -0.112

Lattice parameters (Å, degrees): 3.9529 3.9529 25.4240 90.00 90.00 120.00
Space group R-3m (No. 166, hexagonal axes)
Unique sites:
Ca  0.0000  0.0000  0.0000 (multiplicity 3)
Cd  0.0000  0.0000  0.2415 (multiplicity 6)
Hg  0.0000  0.0000  0.5000 (multiplicity 3)

=====

This record from Alexandria via LeMat-Bulk describes a geometry-optimized Sc2Zn3Au4 structure. The functional is PBE.

Calculated values
Total moment (μB/atom): 0.0000
Energy of formation (eV per atom): -0.512

Lattice parameters (Å, degrees): 4.6525 4.6791 8.5942 96.14 90.07 119.77
Space group P-1 (No. 2)
Unique sites:
Sc  0.1344  0.2694  0.2687 (multiplicity 2)
Zn  0.2212  0.4420  0.9157 (multiplicity 2)
Zn  0.5000  0.0000  0.5000 (multiplicity 1)
Au  0.1845  0.3683  0.5989 (multiplicity 2)
Au  0.4529  0.9063  0.1625 (multiplicity 2)

=====

This record from Alexandria via LeMat-Bulk describes a geometry-optimized HfPa2Si structure. The functional is PBE.

Calculated values
Total moment (μB/atom): 0.0000
Relative energy among the computed polymorphs (meV/atom): 287
Uncorrected formation energy (eV/atom): 0.0266

Lattice parameters (Å, degrees): 3.1217 3.1217 31.5956 90.00 90.00 120.00
Space group R-3m (No. 166, hexagonal axes)
Unique sites:
Hf  0.0000  0.0000  0.0000 (multiplicity 3)
Pa  0.0000  0.0000  0.2440 (multiplicity 6)
Si  0.0000  0.0000  0.5000 (multiplicity 3)